[1]
The following is a DFT calculation (GGA-PBE) of a geometry-optimized ZrGaHg structure.

Cell: 6.3714 6.3714 6.3714 Å, 150.94 150.94 41.57°
Fractional positions:
Zr 0.0000 0.0000 0.0000
Ga 0.3474 0.3474 0.0000
Hg 0.6815 0.6815 0.0000

Output
* energy: -4.1374 eV/atom
* ΔH_f (0 K): -0.5 eV/f.u.
* E above lowest polymorph: 0.0627 eV/atom
* volume: 61 Å³/cell

---

[2]
The following is a DFT calculation (GGA-PBE) of a geometry-optimized GaCI2N structure.

Cell: 7.7096 7.7096 2.6392 Å, 90.00 90.00 90.00°
Fractional positions:
Ga 0.0000 0.0000 0.0000
C 0.5000 0.5000 0.0000
I 0.0000 0.5000 0.5000
I 0.5000 0.0000 0.5000
N 0.5000 0.5000 0.5000

Output
* energy: -3.8361 eV/atom
* E above lowest polymorph: 0.0000 eV/atom
* volume: 157 Å³/cell

---

[3]
The following is a DFT calculation (GGA-PBE) of a geometry-optimized NaYI4O12 structure.

Cell: 16.1229 16.1229 12.6363 Å, 90.82 90.82 20.18°
Fractional positions:
Na 0.1941 0.6553 0.0943
Na 0.2238 0.7762 0.5000
Na 0.6553 0.1941 0.5943
Na 0.7762 0.2238 0.0000
Y 0.0265 0.6460 0.6979
Y 0.2479 0.8341 0.2032
Y 0.6460 0.0265 0.1979
Y 0.8341 0.2479 0.7032
I 0.0267 0.4928 0.2967
I 0.1001 0.6970 0.4030
I 0.1164 0.5207 0.9918
I 0.2161 0.6970 0.7453
I 0.3383 0.9740 0.3406
I 0.3742 0.7476 0.9067
I 0.3785 0.8551 0.6123
I 0.4928 0.0267 0.7967
I 0.5207 0.1164 0.4918
I 0.5479 0.8922 0.0649
I 0.6970 0.1001 0.9030
I 0.6970 0.2161 0.2453
I 0.7476 0.3742 0.4067
I 0.8551 0.3785 0.1123
I 0.8922 0.5479 0.5649
I 0.9740 0.3383 0.8406
O 0.9999 0.7874 0.2635
O 0.0524 0.1628 0.7783
O 0.1302 0.9211 0.8328
O 0.1474 0.9915 0.5849
O 0.1529 0.1611 0.9617
O 0.1611 0.1529 0.4617
O 0.1628 0.0524 0.2783
O 0.1725 0.2154 0.7599
O 0.1783 0.5205 0.8702
O 0.1974 0.3308 0.4221
O 0.2154 0.1725 0.2599
O 0.2315 0.5827 0.6707
O 0.2630 0.3096 0.2085
O 0.2804 0.4034 0.5519
O 0.3096 0.2630 0.7085
O 0.3308 0.1974 0.9221
O 0.3526 0.7084 0.0283
O 0.3825 0.4902 0.3972
O 0.4034 0.2804 0.0519
O 0.4445 0.6306 0.3613
O 0.4847 0.4856 0.6792
O 0.4856 0.4847 0.1792
O 0.4902 0.3825 0.8972
O 0.5205 0.1783 0.3702
O 0.5585 0.6690 0.4913
O 0.5639 0.6206 0.7051
O 0.5827 0.2315 0.1707
O 0.6206 0.5639 0.2051
O 0.6306 0.4445 0.8613
O 0.6690 0.5585 0.9913
O 0.6832 0.6856 0.1482
O 0.6856 0.6832 0.6482
O 0.7084 0.3526 0.5283
O 0.7150 0.7192 0.9418
O 0.7192 0.7150 0.4418
O 0.7206 0.8197 0.1198
O 0.7439 0.8647 0.8222
O 0.7707 0.9364 0.5615
O 0.7874 0.9999 0.7635
O 0.8197 0.7206 0.6198
O 0.8647 0.7439 0.3222
O 0.9211 0.1302 0.3328
O 0.9206 0.9539 0.4473
O 0.9364 0.7707 0.0615
O 0.9539 0.9206 0.9473
O 0.9610 0.9942 0.1613
O 0.9915 0.1474 0.0849
O 0.9942 0.9610 0.6613

Output
* energy: -5.0546 eV/atom
* volume: 1133 Å³/cell